This record from the Alexandria database describes Rb2La2SbO6 after structural relaxation. The functional is PBE.

Cell and atoms, written as CIF:
```
data_Rb2La2SbO6
_chemical_formula_sum 'Rb4 La4 Sb2 O12'
_symmetry_space_group_name_H-M 'C 1 2/m 1'
_symmetry_Int_Tables_number 12
_cell_length_a 6.2870
_cell_length_b 10.7603
_cell_length_c 6.9788
_cell_angle_alpha 90.00
_cell_angle_beta 105.19
_cell_angle_gamma 90.00
loop_
_symmetry_equiv_pos_as_xyz
'x,y,z'
'-x,-y,-z'
'-x,y,-z'
'x,-y,z'
'x+1/2,y+1/2,z'
'-x+1/2,-y+1/2,-z'
'-x+1/2,y+1/2,-z'
'x+1/2,-y+1/2,z'
loop_
_atom_site_label
_atom_site_type_symbol
_atom_site_fract_x
_atom_site_fract_y
_atom_site_fract_z
Rb1 Rb 0.0000 0.1609 0.0000
La1 La 0.0000 0.3351 0.5000
Sb1 Sb 0.0000 0.0000 0.5000
O1 O 0.1991 0.1562 0.6650
O2 O 0.2432 0.0000 0.3295
```

Size of the total moment   1.1 μB per cell
Formation energy (no corrections)   -2367 kJ/mol of formula units



This record from the Alexandria database describes Rb3LaSb2O6 after structural relaxation. The functional is PBE.

Cell and atoms, written as CIF:
```
data_Rb3LaSb2O6
_chemical_formula_sum 'Rb3 La1 Sb2 O6'
_symmetry_space_group_name_H-M 'P -3 m 1'
_symmetry_Int_Tables_number 164
_symmetry_space_group_name_Hall '-P 3 2"'
_cell_length_a 6.3641
_cell_length_b 6.3641
_cell_length_c 7.6298
_cell_angle_alpha 90.00
_cell_angle_beta 90.00
_cell_angle_gamma 120.00
loop_
_atom_site_label
_atom_site_type_symbol
_atom_site_fract_x
_atom_site_fract_y
_atom_site_fract_z
Rb1 Rb 0.0000 0.0000 0.0000
Rb2 Rb 0.3333 0.6667 0.6547
La1 La 0.0000 0.0000 0.5000
Sb1 Sb 0.3333 0.6667 0.1896
O1 O 0.1764 0.3527 0.3119
```

Size of the total moment   0.0 μB per cell
Formation energy (no corrections)   -2287 kJ/mol of formula units